(1)
A plane-wave DFT calculation with PBE-GGA was carried out for a relaxed Be2NbAu crystal.

Unit cell a=11.8746 b=3.3107 c=11.0263 alpha=90.00 beta=90.00 gamma=90.00
Space group Pnma (No. 62)
One atom of each set of equivalent atoms:
Be 0.0275 0.2500 0.0387
Be 0.1256 0.2500 0.1885
Be 0.1388 0.7500 0.4867
Be 0.1857 0.7500 0.6746
Nb 0.0425 0.2500 0.8122
Nb 0.1853 0.7500 0.0140
Au 0.0183 0.2500 0.3895
Au 0.2240 0.7500 0.2954

ΔE to the lowest computed polymorph = 10 meV/atom
Formation enthalpy at 0 K = -87 meV per atom
M_tot = 0.0 μB/cell

(2)
A plane-wave DFT calculation with PBE-GGA was carried out for a relaxed YAsPb2 crystal.

Unit cell a=3.9393 b=4.0310 c=15.2410 alpha=90.00 beta=90.00 gamma=90.00
Space group Immm (No. 71)
One atom of each set of equivalent atoms:
Y 0.0000 0.0000 0.0000
As 0.0000 0.0000 0.5000
Pb 0.0000 0.5000 0.3117

Formation enthalpy at 0 K = -453 meV per atom
M_tot = 0.0 μB/cell

(3)
A plane-wave DFT calculation with PBE-GGA was carried out for a relaxed Y3ZrIr crystal.

Unit cell a=5.3705 b=5.3705 c=5.3705 alpha=90.00 beta=90.00 gamma=90.00
Space group Pm-3m (No. 221)
One atom of each set of equivalent atoms:
Y 0.0000 0.0000 0.5000
Zr 0.5000 0.5000 0.5000
Ir 0.0000 0.0000 0.0000

ΔE to the lowest computed polymorph = 0 meV/atom
Formation enthalpy at 0 K = 4 meV per atom
M_tot = 2.6 μB/cell

(4)
A plane-wave DFT calculation with PBE-GGA was carried out for a relaxed TaMnRh2 crystal.

Unit cell a=2.8712 b=2.8712 c=25.8658 alpha=90.00 beta=90.00 gamma=120.00
Space group R-3m (No. 166, hexagonal axes)
One atom of each set of equivalent atoms:
Ta 0.0000 0.0000 0.0000
Mn 0.0000 0.0000 0.5000
Rh 0.0000 0.0000 0.2487

Formation enthalpy at 0 K = -143 meV per atom
M_tot = 13.1 μB/cell

(5)
A plane-wave DFT calculation with PBE-GGA was carried out for a relaxed Zr2Nb2Pd crystal.

Unit cell a=6.9715 b=6.9715 c=4.1995 alpha=90.00 beta=90.00 gamma=90.00
Space group P4/mbm (No. 127)
One atom of each set of equivalent atoms:
Zr 0.1694 0.3306 0.0000
Nb 0.1350 0.6350 0.5000
Pd 0.0000 0.0000 0.5000

Formation enthalpy at 0 K = 91 meV per atom
M_tot = 0.0 μB/cell

(6)
A plane-wave DFT calculation with PBE-GGA was carried out for a relaxed MnFeN3 crystal.

Unit cell a=3.5950 b=3.5950 c=3.5950 alpha=90.00 beta=90.00 gamma=90.00
Space group Pm-3m (No. 221)
One atom of each set of equivalent atoms:
Mn 0.0000 0.0000 0.0000
Fe 0.5000 0.5000 0.5000
N 0.0000 0.0000 0.5000

Energy relative to the elements, uncorrected = 1.290 eV per atom
M_tot = 0.0 μB/cell